Record 1
DFT (PBE) results for crystalline AsBrCl2 at its relaxed geometry.

Fermi-level density of states in states/eV per atom: 0.000
ΔE_f (raw) in eV per atom: -0.619
ΔE to the lowest computed polymorph in eV/f.u.: 0.00

abc: 4.870 5.894 6.879
angles: 64.79 69.95 79.66
Sites, in units of the cell vectors:
As: 0.000 0.000 0.000
Br: 0.163 0.599 0.991
Cl: 0.593 0.901 0.285
Cl: 0.812 0.163 0.716

=====

Record 2
DFT (PBE) results for crystalline CeNdSm2Bi4 at its relaxed geometry.

ΔE_f in eV per atom: -0.900
Fermi-level density of states in states/eV per atom: 0.998

abc: 7.933 4.579 7.935
angles: 90.00 109.39 90.00
Sites, in units of the cell vectors:
Ce: 0.000 0.000 0.000
Nd: 0.000 0.500 0.500
Sm: 0.500 0.000 0.500
Sm: 0.500 0.500 0.000
Bi: 0.252 0.000 0.752
Bi: 0.252 0.500 0.249
Bi: 0.748 0.000 0.248
Bi: 0.748 0.500 0.751